The following is a DFT calculation (PBE) of an optimized crystal structure of HfTa2Si2.

Lattice parameters (Å, degrees): 6.859 6.859 3.495 90.00 90.00 90.00
Positions (direct):
1 Hf 0.000 0.000 0.000
2 Hf 0.500 0.500 0.000
3 Si 0.626 0.126 0.000
4 Si 0.126 0.374 0.000
5 Si 0.874 0.626 0.000
6 Si 0.374 0.874 0.000
7 Ta 0.330 0.170 0.500
8 Ta 0.830 0.330 0.500
9 Ta 0.170 0.670 0.500
10 Ta 0.670 0.830 0.500

Energy relative to the lowest polymorph listed for this composition (meV per atom): 0
Space-group type: P4/mbm (127)
Size of the total moment (μB/atom): 0.00